1.
Computed, not measured: a geometry-optimized RbDyNO structure at the PBE level of DFT.

The structure in extended XYZ format:
```
16
Lattice="6.7246 0.0000 0.0000 0.0000 9.2039 0.0000 0.0000 0.0000 6.1244" Properties=species:S:1:pos:R:3 pbc="T T T"
Rb 0.4307 1.1597 0.0000
Rb 2.9316 1.1597 3.0622
Rb 3.7930 8.0442 0.0000
Rb 6.2939 8.0442 3.0622
Dy 0.6167 5.4980 5.8155
Dy 2.7456 5.4980 2.7533
Dy 3.9790 3.7059 5.8155
Dy 6.1079 3.7059 2.7533
N 0.0251 1.6830 3.1997
N 3.3372 1.6830 0.1375
N 3.3874 7.5208 3.1997
N 6.6995 7.5208 0.1375
O 0.7847 5.1023 3.6628
O 2.5776 5.1023 0.6006
O 4.1470 4.1016 3.6628
O 5.9399 4.1016 0.6006
```

Summary:
V	23.7	A^3/atom
excess energy over the best structure of this formula in the dataset	1.56	kcal/mol of atoms
calculated total energy	-0.433	Ry per atom

---

2.
Computed, not measured: a geometry-optimized RbDyNO structure at the PBE level of DFT.

The structure in extended XYZ format:
```
8
Lattice="5.3367 0.0000 0.0000 0.0000 5.3367 0.0000 0.0000 0.0000 4.6647" Properties=species:S:1:pos:R:3 pbc="T T T"
Rb 1.3342 1.3342 0.0083
Rb 4.0025 4.0025 4.6564
Dy 1.3342 4.0025 2.3323
Dy 4.0025 1.3342 2.3323
N 1.3342 1.3342 2.3418
N 4.0025 4.0025 2.3229
O 1.3342 4.0025 0.0000
O 4.0025 1.3342 0.0000
```

Summary:
V	16.6	A^3/atom
excess energy over the best structure of this formula in the dataset	7.95	kcal/mol of atoms
calculated total energy	-0.412	Ry per atom